(1)
The following is a DFT calculation (GGA-PBEsol) of an optimized crystal structure of CrCdGe2Br.

Results
- E_form (uncorrected) (meV/atom) = 988

Cell: 4.981 4.981 5.341 Å, 90.00 90.00 90.00°
Space group P4/mmm (No. 123)
Inequivalent atoms, fractional coordinates:
Cr1 0.000 0.000 0.000 [1 per cell]
Cd1 0.000 0.000 0.500 [1 per cell]
Ge1 0.000 0.500 0.500 [2 per cell]
Br1 0.500 0.500 0.000 [1 per cell]


(2)
The following is a DFT calculation (GGA-PBEsol) of an optimized crystal structure of MoIr3.

Results
- ΔE_f (eV/atom) = -0.29
- energy above the most stable polymorph in this dataset (meV per atom) = 17

Cell: 3.849 3.849 15.381 Å, 90.00 90.00 90.00°
Space group I4/mmm (No. 139)
Inequivalent atoms, fractional coordinates:
Mo1 0.000 0.000 0.128 [4 per cell]
Ir1 0.000 0.000 0.378 [4 per cell]
Ir2 0.000 0.500 0.000 [4 per cell]
Ir3 0.000 0.500 0.250 [4 per cell]


(3)
The following is a DFT calculation (GGA-PBEsol) of an optimized crystal structure of NaIn2Pt2.

Results
- ΔE_f (eV/atom) = -0.31
- energy above the most stable polymorph in this dataset (meV per atom) = 144

Cell: 4.423 4.423 11.153 Å, 90.00 90.00 90.00°
Space group I4/mmm (No. 139)
Inequivalent atoms, fractional coordinates:
Na1 0.000 0.000 0.000 [2 per cell]
In1 0.000 0.500 0.250 [4 per cell]
Pt1 0.000 0.000 0.387 [4 per cell]


(4)
The following is a DFT calculation (GGA-PBEsol) of an optimized crystal structure of Tb2CuAg.

Results
- ΔE_f (eV/atom) = -0.27

Cell: 3.490 3.490 7.064 Å, 90.00 90.00 90.00°
Space group P4/mmm (No. 123)
Inequivalent atoms, fractional coordinates:
Tb1 0.000 0.000 0.236 [2 per cell]
Cu1 0.500 0.500 0.000 [1 per cell]
Ag1 0.500 0.500 0.500 [1 per cell]


| no. | theoretical density (g/cm3) |
| --- | --- |
| 1 | 4.88 |
| 2 | 19.60 |
| 3 | 9.78 |
| 4 | 9.44 |